Entry 1:
The following is a PBE-GGA calculation of a relaxed structure of Na3TlCd2In3, from Alexandria.

Cell and atoms, written as extended XYZ:
```
9
Lattice="3.359 0.000 0.000 0.000 8.970 0.000 0.000 -4.485 7.768" Properties=species:S:1:pos:R:3 pbc="T T T"
Cd 1.679 0.000 5.179
Cd 1.679 4.485 2.589
Na 1.679 6.232 0.000
Na 1.679 1.369 2.371
Na 1.679 -3.116 5.397
In 0.000 -1.634 2.830
In 0.000 3.268 0.000
In 0.000 2.851 4.938
Tl 0.000 0.000 0.000
```

Summary:
* space-group type: P-62m, No. 189
* E_form: -7 kJ/mol of atoms
* VASP energy: -1.889 eV/atom
* total magnetization: 0.00 μB per cell

***

Entry 2:
The following is a PBE-GGA calculation of a relaxed structure of La2ReMo, from Alexandria.

Cell and atoms, written as extended XYZ:
```
4
Lattice="4.148 0.000 0.000 0.000 3.248 0.040 0.000 2.206 7.696" Properties=species:S:1:pos:R:3 pbc="T T T"
Re 2.074 3.925 5.283
La 0.000 5.147 7.163
La 2.074 1.676 2.498
Mo 0.000 2.889 4.398
```

Summary:
* space-group type: Pm, No. 6
* energy relative to the lowest polymorph listed for this composition: 159.6 meV/atom
* E_form: 33 kJ/mol of atoms
* VASP energy: -7.945 eV/atom
* total magnetization: 0.00 μB per cell

***

Entry 3:
The following is a PBE-GGA calculation of a relaxed structure of CsCaPu2Cl8, from Alexandria.

Cell and atoms, written as extended XYZ:
```
12
Lattice="-0.578 2.443 6.362 4.234 -4.604 2.386 6.857 5.521 -1.493" Properties=species:S:1:pos:R:3 pbc="T T T"
Cl 0.964 -0.437 2.790
Cl 1.990 2.015 5.550
Cl 4.379 2.452 2.447
Cl 9.548 3.798 4.464
Cl 4.494 -1.895 2.576
Cl 8.522 1.345 1.704
Cl 6.018 5.256 4.678
Cl 6.134 0.909 4.807
Pu 3.493 0.261 4.011
Pu 7.019 3.100 3.244
Cs 3.428 2.761 -0.747
Ca 0.000 0.000 0.000
```

Summary:
* space-group type: P-1, No. 2
* VASP energy: -5.865 eV/atom
* uncorrected formation energy: -2007 meV per atom
* total magnetization: 11.00 μB per cell

***

Entry 4:
The following is a PBE-GGA calculation of a relaxed structure of Y6Sn2SbTe3, from Alexandria.

Cell and atoms, written as extended XYZ:
```
12
Lattice="-1.010 4.232 -0.621 -6.079 -2.321 -5.934 -4.367 -2.068 8.562" Properties=species:S:1:pos:R:3 pbc="T T T"
Y -5.655 0.796 -0.932
Y -2.676 1.916 1.859
Y -8.780 -2.074 0.148
Y -9.921 0.411 3.390
Y -1.535 -0.569 -1.383
Y -5.801 -0.953 2.939
Sb -0.505 2.116 -0.310
Te -4.776 1.762 4.226
Te -6.680 -1.920 -2.219
Te -3.545 0.955 -3.277
Sn -3.652 -0.758 0.777
Sn -7.804 0.600 1.230
```

Summary:
* space-group type: C2/m, No. 12
* VASP energy: -6.189 eV/atom
* uncorrected formation energy: -1161 meV per atom
* total magnetization: 0.00 μB per cell

***

Entry 5:
The following is a PBE-GGA calculation of a relaxed structure of TbPmAu, from Alexandria.

Cell and atoms, written as extended XYZ:
```
6
Lattice="5.956 0.114 -2.592 3.573 2.933 -2.680 -5.217 -1.609 12.562" Properties=species:S:1:pos:R:3 pbc="T T T"
Tb 5.266 2.064 1.270
Tb -0.954 -0.625 6.020
Au -0.357 -0.251 1.886
Au 4.669 1.690 5.404
Pm 6.141 2.692 -2.200
Pm -1.829 -1.254 9.490
```

Summary:
* space-group type: P-1, No. 2
* energy relative to the lowest polymorph listed for this composition: 53.9 meV/atom
* E_form: -51 kJ/mol of atoms
* VASP energy: -4.749 eV/atom
* total magnetization: 0.00 μB per cell

***

Entry 6:
The following is a PBE-GGA calculation of a relaxed structure of In2PW, from Alexandria.

Cell and atoms, written as extended XYZ:
```
4
Lattice="-7.470 -0.140 -6.689 -5.161 -0.471 -8.585 -6.340 -2.875 -7.218" Properties=species:S:1:pos:R:3 pbc="T T T"
W -14.228 -2.615 -16.868
In -0.038 -0.007 -0.045
In -9.447 -1.736 -11.201
P -4.743 -0.872 -5.623
```

Summary:
* space-group type: R-3m, No. 166
* E_form: 65 kJ/mol of atoms
* VASP energy: -5.289 eV/atom
* total magnetization: 0.00 μB per cell

***

Entry 7:
The following is a PBE-GGA calculation of a relaxed structure of Ba3Sb2S7, from Alexandria.

Cell and atoms, written as extended XYZ:
```
48
Lattice="-6.932 -8.434 2.512 4.057 -9.955 -3.153 4.874 -5.847 11.025" Properties=species:S:1:pos:R:3 pbc="T T T"
Ba -1.689 -17.478 1.358
Ba 1.297 -3.840 3.489
Ba -4.326 -11.562 1.660
Ba 6.325 -12.673 8.724
Ba 0.702 -20.395 6.895
Ba 3.687 -6.757 9.025
Ba 2.178 -11.322 7.133
Ba -0.180 -12.913 3.251
Ba -1.687 -8.978 6.085
Ba -0.365 -8.384 1.675
Ba 2.364 -15.851 8.709
Ba 3.686 -15.257 4.298
S 0.741 -16.008 2.993
S -3.257 -6.940 2.432
S 0.978 -18.626 9.640
S -2.708 -13.608 5.288
S -3.194 -8.898 3.150
S 0.921 -10.048 4.260
S 4.706 -10.628 5.096
S -0.055 -1.935 1.065
S 2.054 -22.300 9.319
S 4.826 -12.594 5.785
S 2.960 -12.761 2.291
S -2.604 -14.402 1.600
S -0.962 -11.475 8.093
S 4.603 -9.834 8.783
S 3.179 -12.947 9.865
S 2.068 -17.635 5.961
S 2.120 -9.315 -0.265
S -0.121 -14.921 10.648
S 1.078 -14.187 6.123
S -2.827 -11.642 4.598
S -0.070 -6.601 4.423
S -1.180 -11.289 0.518
S 2.906 -4.931 6.308
S -0.907 -19.304 4.076
S 5.255 -17.296 7.951
S 5.192 -15.338 7.233
S 1.021 -5.609 0.743
S 1.257 -8.228 7.391
Sb 1.809 -11.622 -0.913
Sb 3.738 -10.703 10.900
Sb 1.923 -7.866 5.066
Sb -1.739 -13.532 -0.516
Sb 0.076 -16.370 5.317
Sb 0.190 -12.614 11.297
Sb 3.804 -10.528 2.664
Sb -1.806 -13.708 7.720
```

Summary:
* space-group type: C2/c, No. 15
* VASP energy: -4.802 eV/atom
* uncorrected formation energy: -1227 meV per atom
* total magnetization: 0.00 μB per cell

***

Entry 8:
The following is a PBE-GGA calculation of a relaxed structure of LaZnGe2Cl, from Alexandria.

Cell and atoms, written as extended XYZ:
```
5
Lattice="-1.864 4.063 -2.040 -4.597 -3.144 -2.060 -2.489 0.933 4.132" Properties=species:S:1:pos:R:3 pbc="T T T"
La -4.475 0.926 0.016
Ge -1.245 0.466 2.066
Ge -0.932 2.031 -1.020
Zn 0.000 0.000 0.000
Cl -2.299 -1.572 -1.030
```

Summary:
* space-group type: P4/mmm, No. 123
* VASP energy: -3.655 eV/atom
* uncorrected formation energy: -198 meV per atom
* total magnetization: 0.00 μB per cell